(1)
The following is a PBE calculation of a geometry-optimized Ho8SiP3Se4 structure, from Alexandria via LeMat-Bulk.

a b c (Å): 8.0511 8.1331 8.0518
angles (deg): 119.67 120.00 90.00
With the nearest neighbours (Å) after each atom.
Positions (direct):
Ho 0.2438 0.7306 0.9870  2 P 2.79, 1 Si 2.79, 3 Se 2.94
Ho 0.2436 0.7301 0.4872  2 P 2.78, 1 Si 2.79, 3 Se 2.94
Ho 0.2574 0.2721 0.5149  3 P 2.78, 3 Se 2.95
Ho 0.7431 0.7306 0.9870  2 P 2.79, 1 Si 2.79, 3 Se 2.94
Ho 0.2569 0.2694 0.0130  2 P 2.79, 1 Si 2.79, 3 Se 2.94
Ho 0.7426 0.7279 0.4851  3 P 2.78, 3 Se 2.95
Ho 0.7564 0.2699 0.5128  2 P 2.78, 1 Si 2.79, 3 Se 2.94
Ho 0.7562 0.2694 0.0130  2 P 2.79, 1 Si 2.79, 3 Se 2.94
Si 0.0000 0.5000 0.0000  6 Ho 2.79
P 0.5000 0.5000 0.0000  6 Ho 2.78-2.79
P 0.5000 0.5000 0.5000  6 Ho 2.78-2.79
P 0.0000 0.5000 0.5000  6 Ho 2.78-2.79
Se 0.5000 0.0000 0.0000  6 Ho 2.94
Se 0.5000 0.0000 0.5000  6 Ho 2.94-2.95
Se 0.0000 0.0000 0.0000  6 Ho 2.94-2.95
Se 0.0000 0.0000 0.5000  6 Ho 2.94-2.95

## Properties
Uncorrected energy, eV per atom: -6.176
Total magnetic moment, μB per formula unit: 0.00
DOS at the Fermi energy, states/eV per atom: 0.285
Space group: R-3m (166)

(2)
The following is a PBE calculation of a geometry-optimized Zr2Cd2Ga structure, from Alexandria via LeMat-Bulk.

a b c (Å): 7.2025 7.2025 4.4646
angles (deg): 90.00 90.00 90.00
With the nearest neighbours (Å) after each atom.
Positions (direct):
Ga 0.0000 0.0000 0.0000  4 Zr 2.75
Ga 0.5000 0.5000 0.0000  4 Zr 2.75
Zr 0.3510 0.8510 0.0000  2 Ga 2.75, 2 Cd 3.01, 1 Zr 3.04
Zr 0.8510 0.6490 0.0000  2 Ga 2.75, 2 Cd 3.01, 1 Zr 3.04
Zr 0.6490 0.1490 0.0000  2 Ga 2.75, 2 Cd 3.01, 1 Zr 3.04
Zr 0.1490 0.3510 0.0000  2 Ga 2.75, 2 Cd 3.01, 1 Zr 3.04
Cd 0.1529 0.6529 0.5000  6 Zr 3.01-3.12, 1 Cd 3.11
Cd 0.6529 0.8471 0.5000  6 Zr 3.01-3.12, 1 Cd 3.11
Cd 0.8471 0.3471 0.5000  6 Zr 3.01-3.12, 1 Cd 3.11
Cd 0.3471 0.1529 0.5000  6 Zr 3.01-3.12, 1 Cd 3.11

## Properties
Total magnetic moment, μB per formula unit: 0.81
DOS at the Fermi energy, states/eV per atom: 0.847
Space group: P4/mbm (127)
Formation enthalpy at 0 K, meV/atom: 63
E above lowest polymorph, meV per atom: 78

(3)
The following is a PBE calculation of a geometry-optimized Cu3BiF8 structure, from Alexandria via LeMat-Bulk.

a b c (Å): 4.8258 4.8261 7.0838
angles (deg): 90.00 90.01 120.00
With the nearest neighbours (Å) after each atom.
Positions (direct):
Cu 0.3333 0.6667 0.9999  6 F 2.11
Cu 0.6667 0.3333 0.0001  6 F 2.11
Cu 0.0000 0.0000 0.0000  6 F 2.02
Bi 0.0000 0.0000 0.5000  12 F 2.71-2.79
F 0.3186 0.3185 0.8145  3 Cu 2.02-2.11
F 0.6815 0.0001 0.8145  3 Cu 2.02-2.11
F 0.9999 0.6814 0.8145  3 Cu 2.02-2.11
F 0.6814 0.6815 0.1855  3 Cu 2.02-2.11
F 0.3185 0.9999 0.1855  3 Cu 2.02-2.11
F 0.0001 0.3186 0.1855  3 Cu 2.02-2.11
F 0.3333 0.6667 0.5001  9 F 2.77-2.79, 3 Bi 2.79
F 0.6667 0.3333 0.4999  9 F 2.77-2.79, 3 Bi 2.79

## Properties
Uncorrected energy, eV per atom: -3.989
Total magnetic moment, μB per formula unit: 2.00
DOS at the Fermi energy, states/eV per atom: 1.413
Space group: P-31m (162)

(4)
The following is a PBE calculation of a geometry-optimized SmYZr2 structure, from Alexandria via LeMat-Bulk.

a b c (Å): 3.3646 3.3646 11.2159
angles (deg): 81.37 81.37 60.00
With the nearest neighbours (Å) after each atom.
Positions (direct):
Y 0.5000 0.5000 0.5000  6 Y 3.36, 6 Zr 3.37
Zr 0.7502 0.7502 0.7494  6 Zr 3.36, 3 Y 3.37, 3 Sm 3.38
Zr 0.2498 0.2498 0.2506  6 Zr 3.36, 3 Y 3.37, 3 Sm 3.38
Sm 0.0000 0.0000 0.0000  6 Sm 3.36, 6 Zr 3.38

## Properties
Total magnetic moment, μB per formula unit: 0.00
DOS at the Fermi energy, states/eV per atom: 1.427
Space group: R-3m (166)
Formation enthalpy at 0 K, meV/atom: 159
E above lowest polymorph, meV per atom: 3

(5)
The following is a PBE calculation of a geometry-optimized YMnTc2 structure, from Alexandria via LeMat-Bulk.

a b c (Å): 4.5216 4.5216 3.3161
angles (deg): 90.00 90.00 90.00
With the nearest neighbours (Å) after each atom.
Positions (direct):
Mn 0.0000 0.5000 0.5000  8 Tc 2.80
Tc 0.0000 0.0000 0.0000  4 Y 2.80, 4 Mn 2.80
Tc 0.5000 0.5000 0.0000  4 Mn 2.80, 4 Y 2.80
Y 0.5000 0.0000 0.5000  8 Tc 2.80

## Properties
Total magnetic moment, μB per formula unit: 1.43
DOS at the Fermi energy, states/eV per atom: 1.560
Space group: P4/mmm (123)
Formation enthalpy at 0 K, meV/atom: 373
E above lowest polymorph, meV per atom: 214

(6)
The following is a PBE calculation of a geometry-optimized MgReRh structure, from Alexandria via LeMat-Bulk.

a b c (Å): 4.0466 4.9261 6.0962
angles (deg): 121.66 109.40 65.73
With the nearest neighbours (Å) after each atom.
Positions (direct):
Re 0.4762 0.0375 0.5632  2 Re 2.48, 3 Rh 2.64-2.76
Re 0.8513 0.0377 0.3142  2 Re 2.48, 1 Rh 2.65, 1 Mg 2.68
Mg 0.1668 0.0433 0.9494  5 Rh 2.69-2.93, 3 Mg 2.79-2.87, 4 Re 2.92-3.00
Mg 0.8264 0.5632 0.7891  5 Re 2.68-2.95, 4 Rh 2.75-2.81, 3 Mg 2.79-2.87
Rh 0.1644 0.5395 0.4418  6 Re 2.64-2.87, 4 Mg 2.70-2.81, 2 Rh 2.83
Rh 0.5121 0.4841 0.0810  5 Mg 2.69-2.93, 5 Re 2.74-3.01, 2 Rh 2.83

## Properties
Total magnetic moment, μB per formula unit: 0.00
DOS at the Fermi energy, states/eV per atom: 0.455
Space group: Cm (8)
Formation enthalpy at 0 K, meV/atom: -56
E above lowest polymorph, meV per atom: 89

(7)
The following is a PBE calculation of a geometry-optimized Li2Tb2YTl2 structure, from Alexandria via LeMat-Bulk.

a b c (Å): 4.8156 4.8156 9.4271
angles (deg): 75.20 75.20 60.00
With the nearest neighbours (Å) after each atom.
Positions (direct):
Li 0.6040 0.6040 0.1879  3 Tl 2.79
Li 0.3960 0.3960 0.8121  3 Tl 2.79
Tb 0.1269 0.1269 0.6193  3 Tl 3.17, 3 Li 3.28, 1 Y 3.43, 3 Tb 3.51
Tb 0.8731 0.8731 0.3807  3 Tl 3.17, 3 Li 3.28, 1 Y 3.43, 3 Tb 3.51
Y 0.0000 0.0000 0.0000  6 Li 3.25, 6 Tl 3.37, 2 Tb 3.43
Tl 0.7374 0.7374 0.7877  3 Li 2.79
Tl 0.2626 0.2626 0.2123  3 Li 2.79

## Properties
Total magnetic moment, μB per formula unit: 0.00
DOS at the Fermi energy, states/eV per atom: 0.697
Space group: R-3m (166)
Formation enthalpy at 0 K, meV/atom: -188

(8)
The following is a PBE calculation of a geometry-optimized Tl2Cu2SnTe4 structure, from Alexandria via LeMat-Bulk.

a b c (Å): 4.2100 8.3681 8.3648
angles (deg): 111.78 104.58 90.00
With the nearest neighbours (Å) after each atom.
Positions (direct):
Tl 0.1257 0.5429 0.2513  7 Te 3.49-3.59, 1 Cu 3.75, 1 Tl 3.85
Tl 0.8743 0.4571 0.7487  7 Te 3.49-3.59, 1 Cu 3.75, 1 Tl 3.85
Cu 0.7023 0.0033 0.4045  2 Cu 2.62, 4 Te 2.64-2.70
Cu 0.2977 0.9967 0.5955  2 Cu 2.62, 4 Te 2.64-2.70
Sn 0.0000 0.0000 0.0000  6 Te 3.04-3.07
Te 0.2041 0.1956 0.4081  3 Cu 2.64-2.65
Te 0.7959 0.8044 0.5919  3 Cu 2.64-2.65
Te 0.5323 0.7683 0.0646  1 Cu 2.70
Te 0.4677 0.2317 0.9354  1 Cu 2.70

## Properties
Total magnetic moment, μB per formula unit: 0.00
DOS at the Fermi energy, states/eV per atom: 0.460
Space group: C2/m (12)
E above lowest polymorph, meV per atom: 0

(9)
The following is a PBE calculation of a geometry-optimized TlCu4Sb structure, from Alexandria via LeMat-Bulk.

a b c (Å): 5.1882 5.1882 5.1882
angles (deg): 60.00 60.00 60.00
With the nearest neighbours (Å) after each atom.
Positions (direct):
Tl 0.0000 0.0000 0.0000  12 Cu 3.04, 4 Sb 3.18
Cu 0.8743 0.3752 0.3752  6 Cu 2.59-2.60
Cu 0.3752 0.3752 0.8743  6 Cu 2.59-2.60
Cu 0.3752 0.8743 0.3752  6 Cu 2.59-2.60
Cu 0.3752 0.3752 0.3752  6 Cu 2.59-2.60
Sb 0.7500 0.7500 0.7500  12 Cu 3.04, 4 Tl 3.18

## Properties
Uncorrected energy, eV per atom: -3.668
Total magnetic moment, μB per formula unit: 0.00
DOS at the Fermi energy, states/eV per atom: 0.244
Space group: F-43m (216)